# 1
The following is a DFT calculation (PBE) of AcEuPt after structural relaxation.

Cell and atoms, written as CIF:
```
data_AcEuPt
_chemical_formula_sum 'Ac4 Eu4 Pt4'
_symmetry_space_group_name_H-M 'F -4 3 m'
_symmetry_Int_Tables_number 216
_symmetry_space_group_name_Hall 'F -4 2 3'
_cell_length_a 7.3362
_cell_length_b 7.3362
_cell_length_c 7.3362
_cell_angle_alpha 90.00
_cell_angle_beta 90.00
_cell_angle_gamma 90.00
loop_
_atom_site_label
_atom_site_fract_x
_atom_site_fract_y
_atom_site_fract_z
Ac1 0.0000 0.0000 0.0000
Eu1 0.0000 0.0000 0.5000
Pt1 0.2500 0.2500 0.2500
```

Summary:
As for the density of states at the Fermi level: 11.31 states/eV per cell. Its total magnetization is 29.4 μB/cell. The calculation puts the formation energy at -0.734 eV/atom.

***

# 2
The following is a DFT calculation (PBE) of In3B after structural relaxation.

Cell and atoms, written as CIF:
```
data_In3B
_chemical_formula_sum 'In12 B4'
_symmetry_space_group_name_H-M 'F m -3 m'
_symmetry_Int_Tables_number 225
_symmetry_space_group_name_Hall '-F 4 2 3'
_cell_length_a 7.1140
_cell_length_b 7.1140
_cell_length_c 7.1140
_cell_angle_alpha 90.00
_cell_angle_beta 90.00
_cell_angle_gamma 90.00
loop_
_atom_site_label
_atom_site_fract_x
_atom_site_fract_y
_atom_site_fract_z
In1 0.0000 0.0000 0.0000
In2 0.2500 0.2500 0.2500
B1 0.0000 0.0000 0.5000
```

Summary:
As for the density of states at the Fermi level: 8.43 states/eV per cell. Its total magnetization is 0.0 μB/cell. The calculation puts the formation energy at 0.900 eV/atom.

***

# 3
The following is a DFT calculation (PBE) of Pm3NiC4 after structural relaxation.

Cell and atoms, written as CIF:
```
data_Pm3NiC4
_chemical_formula_sum 'Pm6 Ni2 C8'
_symmetry_space_group_name_H-M 'C 1 2/m 1'
_symmetry_Int_Tables_number 12
_cell_length_a 12.9619
_cell_length_b 3.7362
_cell_length_c 6.6098
_cell_angle_alpha 90.00
_cell_angle_beta 107.08
_cell_angle_gamma 90.00
loop_
_symmetry_equiv_pos_as_xyz
'x,y,z'
'-x,-y,-z'
'-x,y,-z'
'x,-y,z'
'x+1/2,y+1/2,z'
'-x+1/2,-y+1/2,-z'
'-x+1/2,y+1/2,-z'
'x+1/2,-y+1/2,z'
loop_
_atom_site_label
_atom_site_fract_x
_atom_site_fract_y
_atom_site_fract_z
Pm1 0.0000 0.0000 0.0000
Pm2 0.2023 0.0000 0.7252
Ni1 0.0000 0.5000 0.5000
C1 0.0733 0.5000 0.7741
C2 0.1403 0.5000 0.9696
```

Summary:
As for the density of states at the Fermi level: 8.55 states/eV per cell. Its total magnetization is 2.3 μB/cell. The calculation puts the formation energy at -0.113 eV/atom.

***

# 4
The following is a DFT calculation (PBE) of SrGa3Ir after structural relaxation.

Cell and atoms, written as CIF:
```
data_SrGa3Ir
_chemical_formula_sum 'Sr2 Ga6 Ir2'
_symmetry_space_group_name_H-M 'C 1 m 1'
_symmetry_Int_Tables_number 8
_cell_length_a 6.2658
_cell_length_b 6.2633
_cell_length_c 6.2047
_cell_angle_alpha 90.00
_cell_angle_beta 120.30
_cell_angle_gamma 90.00
loop_
_symmetry_equiv_pos_as_xyz
'x,y,z'
'x,-y,z'
'x+1/2,y+1/2,z'
'x+1/2,-y+1/2,z'
loop_
_atom_site_label
_atom_site_fract_x
_atom_site_fract_y
_atom_site_fract_z
Sr1 0.0000 0.0000 0.0000
Ga1 0.0056 0.2496 0.5095
Ga2 0.0967 0.5000 0.1939
Ir1 0.3681 0.0000 0.7335
```

Summary:
As for the density of states at the Fermi level: 5.34 states/eV per cell. Its total magnetization is 0.0 μB/cell. The calculation puts the formation energy at -0.503 eV/atom.

***

# 5
The following is a DFT calculation (PBE) of Ag2Sn2Bi after structural relaxation.

Cell and atoms, written as CIF:
```
data_Ag2Sn2Bi
_chemical_formula_sum 'Ag4 Sn4 Bi2'
_symmetry_space_group_name_H-M 'I 4/m m m'
_symmetry_Int_Tables_number 139
_symmetry_space_group_name_Hall '-I 4 2'
_cell_length_a 4.4043
_cell_length_b 4.4043
_cell_length_c 13.1246
_cell_angle_alpha 90.00
_cell_angle_beta 90.00
_cell_angle_gamma 90.00
loop_
_atom_site_label
_atom_site_fract_x
_atom_site_fract_y
_atom_site_fract_z
Ag1 0.0000 0.0000 0.1024
Sn1 0.0000 0.5000 0.2500
Bi1 0.0000 0.0000 0.5000
```

Summary:
As for the density of states at the Fermi level: 3.26 states/eV per cell. Its total magnetization is 0.0 μB/cell. The calculation puts the formation energy at 0.140 eV/atom.

***

# 6
The following is a DFT calculation (PBE) of SrMnCr4 after structural relaxation.

Cell and atoms, written as CIF:
```
data_SrMnCr4
_chemical_formula_sum 'Sr4 Mn4 Cr16'
_symmetry_space_group_name_H-M 'F -4 3 m'
_symmetry_Int_Tables_number 216
_symmetry_space_group_name_Hall 'F -4 2 3'
_cell_length_a 7.1718
_cell_length_b 7.1718
_cell_length_c 7.1718
_cell_angle_alpha 90.00
_cell_angle_beta 90.00
_cell_angle_gamma 90.00
loop_
_atom_site_label
_atom_site_fract_x
_atom_site_fract_y
_atom_site_fract_z
Sr1 0.0000 0.0000 0.0000
Mn1 0.2500 0.2500 0.2500
Cr1 0.1251 0.1251 0.6251
```

Summary:
As for the density of states at the Fermi level: 29.34 states/eV per cell. Its total magnetization is 2.7 μB/cell. The calculation puts the formation energy at 0.848 eV/atom.

***

# 7
The following is a DFT calculation (PBE) of FeCoRh6 after structural relaxation.

Cell and atoms, written as CIF:
```
data_FeCoRh6
_chemical_formula_sum 'Fe2 Co2 Rh12'
_symmetry_space_group_name_H-M 'C 1 2/m 1'
_symmetry_Int_Tables_number 12
_cell_length_a 7.3666
_cell_length_b 5.2126
_cell_length_c 6.8182
_cell_angle_alpha 90.00
_cell_angle_beta 110.58
_cell_angle_gamma 90.00
loop_
_symmetry_equiv_pos_as_xyz
'x,y,z'
'-x,-y,-z'
'-x,y,-z'
'x,-y,z'
'x+1/2,y+1/2,z'
'-x+1/2,-y+1/2,-z'
'-x+1/2,y+1/2,-z'
'x+1/2,-y+1/2,z'
loop_
_atom_site_label
_atom_site_fract_x
_atom_site_fract_y
_atom_site_fract_z
Fe1 0.0000 0.0000 0.0000
Co1 0.0000 0.5000 0.5000
Rh1 0.1403 0.0000 0.4292
Rh2 0.1952 0.2422 0.8009
```

Summary:
As for the density of states at the Fermi level: 28.08 states/eV per cell. Its total magnetization is 10.3 μB/cell. The calculation puts the formation energy at 0.408 eV/atom.

***

# 8
The following is a DFT calculation (PBE) of Tb6Pm2MgSc3 after structural relaxation.

Cell and atoms, written as CIF:
```
data_Tb6Pm2MgSc3
_chemical_formula_sum 'Tb12 Pm4 Mg2 Sc6'
_symmetry_space_group_name_H-M 'C 1 2/m 1'
_symmetry_Int_Tables_number 12
_cell_length_a 6.0332
_cell_length_b 10.4559
_cell_length_c 11.4354
_cell_angle_alpha 90.00
_cell_angle_beta 100.18
_cell_angle_gamma 90.00
loop_
_symmetry_equiv_pos_as_xyz
'x,y,z'
'-x,-y,-z'
'-x,y,-z'
'x,-y,z'
'x+1/2,y+1/2,z'
'-x+1/2,-y+1/2,-z'
'-x+1/2,y+1/2,-z'
'x+1/2,-y+1/2,z'
loop_
_atom_site_label
_atom_site_fract_x
_atom_site_fract_y
_atom_site_fract_z
Tb1 0.2457 0.0000 0.2395
Tb2 0.2475 0.3339 0.2396
Pm1 0.0000 0.3333 0.5000
Mg1 0.0000 0.0000 0.5000
Sc1 0.0000 0.1653 0.0000
Sc2 0.0000 0.5000 0.0000
```

Summary:
As for the density of states at the Fermi level: 30.28 states/eV per cell. Its total magnetization is 0.0 μB/cell. The calculation puts the formation energy at 0.039 eV/atom.

***

# 9
The following is a DFT calculation (PBE) of KAgBiSb2 after structural relaxation.

Cell and atoms, written as CIF:
```
data_KAgBiSb2
_chemical_formula_sum 'K1 Ag1 Bi1 Sb2'
_symmetry_space_group_name_H-M 'P 4/m m m'
_symmetry_Int_Tables_number 123
_symmetry_space_group_name_Hall '-P 4 2'
_cell_length_a 5.9835
_cell_length_b 5.9835
_cell_length_c 5.4888
_cell_angle_alpha 90.00
_cell_angle_beta 90.00
_cell_angle_gamma 90.00
loop_
_atom_site_label
_atom_site_fract_x
_atom_site_fract_y
_atom_site_fract_z
K1 0.0000 0.0000 0.0000
Ag1 0.5000 0.5000 0.0000
Bi1 0.5000 0.5000 0.5000
Sb1 0.0000 0.5000 0.5000
```

Summary:
The value obtained for the formation energy (no corrections) is 369 meV per atom. As for the density of states at the Fermi level: 5.78 states/eV per cell. Its total magnetization is 0.0 μB/cell.

***

# 10
The following is a DFT calculation (PBE) of FeOsRh2 after structural relaxation.

Cell and atoms, written as CIF:
```
data_FeOsRh2
_chemical_formula_sum 'Fe2 Os2 Rh4'
_symmetry_space_group_name_H-M 'C 1 2/m 1'
_symmetry_Int_Tables_number 12
_cell_length_a 8.9340
_cell_length_b 2.6934
_cell_length_c 4.6145
_cell_angle_alpha 90.00
_cell_angle_beta 100.24
_cell_angle_gamma 90.00
loop_
_symmetry_equiv_pos_as_xyz
'x,y,z'
'-x,-y,-z'
'-x,y,-z'
'x,-y,z'
'x+1/2,y+1/2,z'
'-x+1/2,-y+1/2,-z'
'-x+1/2,y+1/2,-z'
'x+1/2,-y+1/2,z'
loop_
_atom_site_label
_atom_site_fract_x
_atom_site_fract_y
_atom_site_fract_z
Fe1 0.0000 0.0000 0.0000
Os1 0.0000 0.5000 0.5000
Rh1 0.2493 0.5000 0.2495
```

Summary:
As for the density of states at the Fermi level: 8.42 states/eV per cell. Its total magnetization is 5.3 μB/cell. The calculation puts the formation energy at 0.053 eV/atom.

***

# 11
The following is a DFT calculation (PBE) of La2TaTeAu after structural relaxation.

Cell and atoms, written as CIF:
```
data_La2TaTeAu
_chemical_formula_sum 'La2 Ta1 Te1 Au1'
_symmetry_space_group_name_H-M 'P 4/m m m'
_symmetry_Int_Tables_number 123
_symmetry_space_group_name_Hall '-P 4 2'
_cell_length_a 5.9375
_cell_length_b 5.9375
_cell_length_c 5.0364
_cell_angle_alpha 90.00
_cell_angle_beta 90.00
_cell_angle_gamma 90.00
loop_
_atom_site_label
_atom_site_fract_x
_atom_site_fract_y
_atom_site_fract_z
La1 0.0000 0.5000 0.0000
Ta1 0.0000 0.0000 0.5000
Te1 0.5000 0.5000 0.0000
Au1 0.5000 0.5000 0.5000
```

Summary:
The value obtained for the formation energy (no corrections) is 767 meV per atom. As for the density of states at the Fermi level: 9.41 states/eV per cell. Its total magnetization is 0.4 μB/cell.

***

# 12
The following is a DFT calculation (PBE) of LaBe2HgIr after structural relaxation.

Cell and atoms, written as CIF:
```
data_LaBe2HgIr
_chemical_formula_sum 'La1 Be2 Hg1 Ir1'
_symmetry_space_group_name_H-M 'P 4/m m m'
_symmetry_Int_Tables_number 123
_symmetry_space_group_name_Hall '-P 4 2'
_cell_length_a 4.4321
_cell_length_b 4.4321
_cell_length_c 5.1802
_cell_angle_alpha 90.00
_cell_angle_beta 90.00
_cell_angle_gamma 90.00
loop_
_atom_site_label
_atom_site_fract_x
_atom_site_fract_y
_atom_site_fract_z
La1 0.0000 0.0000 0.0000
Be1 0.0000 0.5000 0.5000
Hg1 0.5000 0.5000 0.0000
Ir1 0.5000 0.5000 0.5000
```

Summary:
As for the density of states at the Fermi level: 2.69 states/eV per cell. Its total magnetization is 0.0 μB/cell. The calculation puts the formation energy at -0.092 eV/atom.